[1]
The following is a DFT calculation (PBE) of Nd4DySi4 after structural relaxation.

For the raw formation energy, the calculation gives -0.48 eV per atom. As for the calculated total energy: -5.516 eV per atom. Its symmetry is P4_2/n. Its total magnetic moment is 0.00 μB per formula unit. As for the density: 5.80 g/cm3.

a b c (Å): 6.0626 8.9733 8.9733
angles (deg): 90.00 90.00 90.00
Atoms (fractional coordinates):
Nd1 0.3632 0.3034 0.9213
Nd2 0.8632 0.5787 0.8034
Nd3 0.3632 0.6966 0.0787
Nd4 0.1368 0.1966 0.5787
Nd5 0.6368 0.9213 0.6966
Nd6 0.1368 0.8034 0.4213
Nd7 0.8632 0.4213 0.1966
Nd8 0.6368 0.0787 0.3034
Dy1 0.0000 0.0000 0.0000
Dy2 0.5000 0.5000 0.5000
Si1 0.6492 0.7591 0.3685
Si2 0.6492 0.2409 0.6315
Si3 0.1492 0.8685 0.7409
Si4 0.8508 0.2591 0.8685
Si5 0.8508 0.7409 0.1315
Si6 0.3508 0.3685 0.2409
Si7 0.3508 0.6315 0.7591
Si8 0.1492 0.1315 0.2591



[2]
The following is a DFT calculation (PBE) of NdDy2Zn2Si2 after structural relaxation.

For the raw formation energy, the calculation gives -0.46 eV per atom. As for the calculated total energy: -4.366 eV per atom. Its symmetry is R-3m. Its total magnetic moment is 0.00 μB per formula unit. As for the density: 6.67 g/cm3.

a b c (Å): 4.0929 4.0929 11.5058
angles (deg): 79.75 79.75 60.00
Atoms (fractional coordinates):
Nd1 0.0000 0.0000 0.0000
Dy1 0.1228 0.1228 0.6315
Dy2 0.8772 0.8772 0.3685
Zn1 0.6037 0.6037 0.1889
Zn2 0.3963 0.3963 0.8111
Si1 0.7319 0.7319 0.8044
Si2 0.2681 0.2681 0.1956



[3]
The following is a DFT calculation (PBE) of NdSmDy after structural relaxation.

As for the calculated total energy: -4.020 eV per atom. The value obtained for the formation energy is 2.03 eV per formula unit. Its symmetry is Cmmm. The energy above the most stable polymorph in this dataset comes out at 661 meV/atom. Its total magnetic moment is 0.00 μB per formula unit. As for the density: 6.41 g/cm3.

a b c (Å): 3.4846 8.2460 8.2460
angles (deg): 89.74 90.00 90.00
Atoms (fractional coordinates):
Nd1 0.0000 0.0000 0.0000
Nd2 0.5000 0.5000 0.5000
Sm1 0.0000 0.7375 0.7375
Sm2 0.0000 0.2625 0.2625
Dy1 0.5000 0.2368 0.7632
Dy2 0.5000 0.7632 0.2368



[4]
The following is a DFT calculation (PBE) of Nd4SmDy after structural relaxation.

As for the calculated total energy: -4.555 eV per atom. The value obtained for the formation energy is 1.06 eV per formula unit. Its symmetry is C2/m. The energy above the most stable polymorph in this dataset comes out at 161 meV/atom. Its total magnetic moment is 0.00 μB per formula unit. As for the density: 7.02 g/cm3.

a b c (Å): 3.4920 6.1874 10.3078
angles (deg): 88.21 80.25 73.61
Atoms (fractional coordinates):
Nd1 0.6559 0.5335 0.1547
Nd2 0.3441 0.4665 0.8453
Nd3 0.1554 0.0320 0.6571
Nd4 0.8446 0.9680 0.3429
Sm1 0.5000 0.5000 0.5000
Dy1 0.0000 0.0000 0.0000



[5]
The following is a DFT calculation (PBE) of NdSmDy2 after structural relaxation.

As for the calculated total energy: -4.660 eV per atom. The value obtained for the formation energy is 0.05 eV per formula unit. Its symmetry is R3m. The energy above the most stable polymorph in this dataset comes out at 17 meV/atom. Its total magnetic moment is 0.00 μB per formula unit. As for the density: 7.79 g/cm3.

a b c (Å): 3.6181 3.6181 11.8314
angles (deg): 81.20 81.20 60.00
Atoms (fractional coordinates):
Nd1 0.6666 0.6666 0.0003
Sm1 0.5004 0.5004 0.4988
Dy1 0.0835 0.0835 0.7495
Dy2 0.2496 0.2496 0.2513



[6]
The following is a DFT calculation (PBE) of Nd7SmDy4 after structural relaxation.

As for the calculated total energy: -4.702 eV per atom. The value obtained for the formation energy is 0.08 eV per formula unit. Its symmetry is P-1. The energy above the most stable polymorph in this dataset comes out at 0 meV/atom. Its total magnetic moment is 0.00 μB per formula unit. As for the density: 7.37 g/cm3.

a b c (Å): 7.3189 9.6885 9.0303
angles (deg): 81.10 89.97 40.94
Atoms (fractional coordinates):
Nd1 0.7528 0.5000 0.0014
Nd2 0.2472 0.5000 0.9986
Nd3 0.9712 0.2803 0.6646
Nd4 0.0288 0.7197 0.3354
Nd5 0.2218 0.7779 0.6658
Nd6 0.5000 0.0000 0.0000
Nd7 0.7782 0.2221 0.3342
Sm1 0.0000 0.0000 0.0000
Dy1 0.5309 0.7221 0.3331
Dy2 0.4691 0.2779 0.6669
Dy3 0.7192 0.7808 0.6652
Dy4 0.2808 0.2192 0.3348



[7]
The following is a DFT calculation (PBE) of Nd3Sm2Dy3 after structural relaxation.

As for the calculated total energy: -4.676 eV per atom. The value obtained for the formation energy is 0.14 eV per formula unit. Its symmetry is Immm. The energy above the most stable polymorph in this dataset comes out at 0 meV/atom. Its total magnetic moment is 0.00 μB per formula unit. As for the density: 7.59 g/cm3.

a b c (Å): 5.1050 5.1135 10.8492
angles (deg): 103.63 103.61 90.00
Atoms (fractional coordinates):
Nd1 0.6242 0.6242 0.2483
Nd2 0.3758 0.3758 0.7517
Nd3 0.5000 0.0000 0.0000
Sm1 0.7496 0.2496 0.4991
Sm2 0.2504 0.7504 0.5009
Dy1 0.1252 0.1252 0.2504
Dy2 0.0000 0.5000 0.0000
Dy3 0.8748 0.8748 0.7496



[8]
The following is a DFT calculation (PBE) of Nd8Sm2Dy after structural relaxation.

As for the calculated total energy: -4.730 eV per atom. The value obtained for the formation energy is 0.15 eV per formula unit. Its symmetry is C2/m. The energy above the most stable polymorph in this dataset comes out at 0 meV/atom. Its total magnetic moment is 0.00 μB per formula unit. As for the density: 7.05 g/cm3.

a b c (Å): 5.1750 8.1854 9.6707
angles (deg): 104.67 105.52 90.00
Atoms (fractional coordinates):
Nd1 0.5908 0.4526 0.1816
Nd2 0.3186 0.0902 0.6371
Nd3 0.1363 0.1820 0.2725
Nd4 0.0457 0.7287 0.0915
Nd5 0.8637 0.8180 0.7275
Nd6 0.6814 0.9098 0.3629
Nd7 0.4092 0.5474 0.8184
Nd8 0.9543 0.2713 0.9085
Sm1 0.2269 0.6356 0.4537
Sm2 0.7731 0.3644 0.5463
Dy1 0.5000 0.0000 0.0000



[9]
The following is a DFT calculation (PBE) of Nd2Sm5Dy6 after structural relaxation.

As for the calculated total energy: -4.578 eV per atom. The value obtained for the formation energy is 1.24 eV per formula unit. Its symmetry is Pbam. Its total magnetic moment is 0.00 μB per formula unit. As for the density: 7.70 g/cm3.

a b c (Å): 3.6054 11.7546 20.5132
angles (deg): 90.00 90.00 90.00
Atoms (fractional coordinates):
Nd1 0.0000 0.3281 0.2839
Nd2 0.0000 0.6719 0.7161
Nd3 0.0000 0.8281 0.2161
Nd4 0.0000 0.1719 0.7839
Sm1 0.5000 0.2998 0.4482
Sm2 0.5000 0.7002 0.5518
Sm3 0.5000 0.7998 0.0518
Sm4 0.5000 0.2002 0.9482
Sm5 0.5000 0.5873 0.2779
Sm6 0.5000 0.4127 0.7221
Sm7 0.5000 0.0873 0.2221
Sm8 0.5000 0.9127 0.7779
Sm9 0.5000 0.5000 0.0000
Sm10 0.5000 0.0000 0.5000
Dy1 0.0000 0.0772 0.3658
Dy2 0.0000 0.9228 0.6342
Dy3 0.0000 0.5772 0.1342
Dy4 0.0000 0.4228 0.8658
Dy5 0.5000 0.3203 0.1295
Dy6 0.5000 0.6797 0.8705
Dy7 0.5000 0.8203 0.3705
Dy8 0.5000 0.1797 0.6295
Dy9 0.0000 0.5602 0.4223
Dy10 0.0000 0.4398 0.5777
Dy11 0.0000 0.0602 0.0777
Dy12 0.0000 0.9398 0.9223



[10]
The following is a DFT calculation (PBE) of Nd5Sm3Dy after structural relaxation.

As for the calculated total energy: -4.182 eV per atom. The value obtained for the formation energy is 4.96 eV per formula unit. Its symmetry is C2/m. The energy above the most stable polymorph in this dataset comes out at 287 meV/atom. Its total magnetic moment is 0.00 μB per formula unit. As for the density: 6.30 g/cm3.

a b c (Å): 8.1510 8.1510 11.7624
angles (deg): 72.04 72.04 89.72
Atoms (fractional coordinates):
Nd1 0.9674 0.4360 0.3521
Nd2 0.2551 0.7449 0.0000
Nd3 0.6942 0.6942 0.0943
Nd4 0.4712 0.4712 0.3811
Nd5 0.5288 0.5288 0.6189
Nd6 0.3058 0.3058 0.9057
Nd7 0.4360 0.9674 0.3521
Nd8 0.7449 0.2551 0.0000
Nd9 0.0326 0.5640 0.6479
Nd10 0.5640 0.0326 0.6479
Sm1 0.6204 0.6204 0.8428
Sm2 0.7921 0.7921 0.3479
Sm3 0.0000 0.0000 0.0000
Sm4 0.0000 0.0000 0.5000
Sm5 0.3796 0.3796 0.1572
Sm6 0.2079 0.2079 0.6521
Dy1 0.9092 0.9092 0.7947
Dy2 0.0908 0.0908 0.2053